# 1
Pa3CdSe6 | PBE-GGA | optimized geometry

abc: 10.9046 13.4656 7.2274
angles: 90.00 90.00 90.00
Closest atoms and distances in Å follow each position.
Space group Cmc2_1 (No. 36)
Inequivalent atoms, fractional coordinates:
Pa 0.0000 0.0907 0.0000 [4 per cell]  7 Se 2.91-2.97, 1 Cd 3.19
Pa 0.1769 0.3990 0.8868 [8 per cell]  7 Se 2.84-3.04
Cd 0.0000 0.1690 0.4163 [4 per cell]  1 Se 2.71
Se 0.0000 0.2628 0.7488 [4 per cell]  1 Cd 2.71, 3 Pa 2.84-2.94
Se 0.0000 0.4837 0.1472 [4 per cell]  4 Pa 2.93-3.04
Se 0.1708 0.0424 0.7016 [8 per cell]  4 Pa 2.88-2.97
Se 0.1925 0.2242 0.1243 [8 per cell]  3 Pa 2.90-2.92, 1 Cd 3.07

Values from the calculation:
The calculation puts the energy relative to the elements, uncorrected at -11.67 eV per formula unit. The electronic total energy comes out at -6.198 eV/atom. The crystal system is orthorhombic. The value obtained for the density of states at the Fermi level is 13.2 states/eV/f.u. As for the total magnetization: 11.511 μB/cell.

=====

# 2
Pa3Cd5Se12 | PBE-GGA | optimized geometry

abc: 16.3582 16.3582 16.3582
angles: 90.00 90.00 90.00
Closest atoms and distances in Å follow each position.
Space group Ia-3d (No. 230)
Inequivalent atoms, fractional coordinates:
Pa 0.0000 0.2500 0.1250 [24 per cell]  8 Se 2.98-3.07
Cd 0.0000 0.0000 0.0000 [16 per cell]  6 Se 2.78
Cd 0.0000 0.2500 0.3750 [24 per cell]  4 Se 2.62
Se 0.0193 0.0710 0.6533 [96 per cell]  2 Cd 2.62-2.78

Values from the calculation:
The calculation puts the energy relative to the elements, uncorrected at -16.17 eV per formula unit. The electronic total energy comes out at -4.553 eV/atom. The crystal system is cubic. The value obtained for the density of states at the Fermi level is 9.0 states/eV/f.u. As for the total magnetization: 9.341 μB/cell.

=====

# 3
Pa2CdSe | PBE-GGA | optimized geometry

abc: 3.3233 3.3233 32.8584
angles: 90.00 90.00 120.00
Closest atoms and distances in Å follow each position.
Space group R-3m (No. 166, hexagonal axes)
Inequivalent atoms, fractional coordinates:
Pa 0.0000 0.0000 0.1000 [6 per cell]  3 Se 2.91
Cd 0.0000 0.0000 0.0000 [3 per cell]  2 Pa 3.29, 6 Cd 3.32
Se 0.0000 0.0000 0.5000 [3 per cell]  6 Pa 2.91

Values from the calculation:
The calculation puts the energy relative to the elements, uncorrected at -0.31 eV per formula unit. The electronic total energy comes out at -5.924 eV/atom. The crystal system is trigonal. The value obtained for the density of states at the Fermi level is 6.4 states/eV/f.u. As for the total magnetization: 0.001 μB/cell.

=====

# 4
PaTl2CdSe4 | PBE-GGA | optimized geometry

abc: 7.1957 4.1677 8.2270
angles: 90.00 108.01 90.00
Closest atoms and distances in Å follow each position.
Space group P2/m (No. 10)
Inequivalent atoms, fractional coordinates:
Pa 0.0000 0.0000 0.0000 [1 per cell]  6 Se 2.86-2.87
Tl 0.0000 0.5000 0.5000 [1 per cell]  6 Se 3.25-3.35
Tl 0.5000 0.0000 0.5000 [1 per cell]  6 Se 3.32-3.41
Cd 0.5000 0.5000 0.0000 [1 per cell]  6 Se 2.86-3.02
Se 0.2233 0.5000 0.2115 [2 per cell]  2 Pa 2.87, 1 Cd 3.02
Se 0.2645 0.0000 0.8018 [2 per cell]  2 Cd 2.86, 1 Pa 2.86

Values from the calculation:
The calculation puts the energy relative to the elements, uncorrected at -6.43 eV per formula unit. The electronic total energy comes out at -4.439 eV/atom. The crystal system is monoclinic. The value obtained for the density of states at the Fermi level is 5.0 states/eV/f.u. As for the total magnetization: 0.982 μB/cell.

=====

# 5
Pa2CdSi | PBE-GGA | optimized geometry

abc: 3.7416 3.7416 6.6987
angles: 90.00 90.00 90.00
Closest atoms and distances in Å follow each position.
Space group P4/mmm (No. 123)
Inequivalent atoms, fractional coordinates:
Pa 0.0000 0.0000 0.1989 [2 per cell]  1 Pa 2.66, 4 Si 2.96
Cd 0.5000 0.5000 0.5000 [1 per cell]  8 Pa 3.33, 2 Si 3.35
Si 0.5000 0.5000 0.0000 [1 per cell]  8 Pa 2.96

Values from the calculation:
The calculation puts the energy relative to the elements, uncorrected at -0.21 eV per formula unit. The electronic total energy comes out at -6.386 eV/atom. The crystal system is tetragonal. The value obtained for the density of states at the Fermi level is 7.6 states/eV/f.u. As for the energy above the most stable polymorph in this dataset: 0 meV per atom. As for the total magnetization: 0.001 μB/cell.

=====

# 6
Pa2CdSi | PBE-GGA | optimized geometry

abc: 3.1141 3.1141 34.1363
angles: 90.00 90.00 120.00
Closest atoms and distances in Å follow each position.
Space group R-3m (No. 166, hexagonal axes)
Inequivalent atoms, fractional coordinates:
Pa 0.0000 0.0000 0.0971 [6 per cell]  3 Si 2.98, 6 Pa 3.11, 1 Cd 3.31
Cd 0.0000 0.0000 0.0000 [3 per cell]  6 Cd 3.11, 2 Pa 3.31
Si 0.0000 0.0000 0.5000 [3 per cell]  6 Pa 2.98, 6 Si 3.11

Values from the calculation:
The calculation puts the energy relative to the elements, uncorrected at 0.74 eV per formula unit. The electronic total energy comes out at -6.148 eV/atom. The crystal system is trigonal. The value obtained for the density of states at the Fermi level is 6.7 states/eV/f.u. As for the energy above the most stable polymorph in this dataset: 238 meV per atom. As for the total magnetization: 0.001 μB/cell.